[1]
Material: TaCoTc2
Method: DFT, PBE
State: optimized geometry

Lattice parameters (Å, degrees): 2.697 2.697 8.186 90.00 90.00 102.74
Last column: magnetic moment on the atom in μB.
Positions (direct):
Co: 0.500 0.500 0.250  0.87
Tc: 0.000 0.000 0.026  0.04
Ta: 0.500 0.500 0.750  -0.01
Tc: 0.000 0.000 0.474  0.04

E_form, eV/f.u.: 0.26
Size of the total moment, Bohr magnetons per cell: 0.91
ρ, g/cm3: 12.460
Space group: Cmmm



[2]
Material: Ta2Ti5Co2Tc
Method: DFT, PBE
State: optimized geometry

Lattice parameters (Å, degrees): 3.082 10.072 10.072 90.00 90.00 90.00
Positions (direct):
Ti: 0.500 0.202 0.058
Ti: 0.500 0.298 0.558
Ta: 0.000 0.179 0.321
Co: 0.000 0.627 0.873
Ta: 0.000 0.321 0.821
Ti: 0.500 0.798 0.942
Co: 0.000 0.373 0.127
Ti: 0.500 0.500 0.000
Tc: 0.000 0.000 0.000
Ti: 0.500 0.558 0.702
Ti: 0.500 0.702 0.442
Ta: 0.000 0.821 0.679
Ti: 0.500 0.942 0.202
Co: 0.000 0.127 0.627
Tc: 0.000 0.500 0.500
Ti: 0.500 0.442 0.298
Co: 0.000 0.873 0.373
Ti: 0.500 0.000 0.500
Ti: 0.500 0.058 0.798
Ta: 0.000 0.679 0.179

E_form, eV/f.u.: -2.21
Size of the total moment, Bohr magnetons per cell: 0.00
ρ, g/cm3: 8.680
Space group: P4/mbm



[3]
Material: Ta2TiCoTc
Method: DFT, PBE
State: optimized geometry

Lattice parameters (Å, degrees): 4.773 4.557 4.773 90.00 90.00 90.00
Positions (direct):
Ta: 0.500 0.000 0.000
Ti: 0.000 0.500 0.000
Ta: 0.000 0.000 0.500
Co: 0.500 0.500 0.500
Tc: 0.000 0.000 0.000

E_form, eV/f.u.: 6.71
Size of the total moment, Bohr magnetons per cell: 0.00
ρ, g/cm3: 9.066
Space group: P4/mmm



[4]
Material: TaTlCo2Tc
Method: DFT, PBE
State: optimized geometry

Lattice parameters (Å, degrees): 4.533 4.793 4.533 90.00 90.00 90.00
Last column: magnetic moment on the atom in μB.
Positions (direct):
Co: 0.000 0.000 0.500  0.81
Tl: 0.500 0.500 0.500  -0.01
Ta: 0.000 0.000 0.000  -0.16
Tc: 0.000 0.500 0.000  0.15
Co: 0.500 0.000 0.000  0.52

E_form, eV/f.u.: 6.82
Size of the total moment, Bohr magnetons per cell: 1.21
ρ, g/cm3: 10.135
Space group: P4/mmm



[5]
Material: TaZn2CoTc
Method: DFT, PBE
State: optimized geometry

Lattice parameters (Å, degrees): 4.944 4.632 4.944 90.00 90.00 90.00
Last column: magnetic moment on the atom in μB.
Positions (direct):
Zn: 0.500 0.000 0.000  -0.01
Co: 0.500 0.500 0.500  2.04
Zn: 0.000 0.000 0.500  -0.01
Ta: 0.000 0.000 0.000  -0.09
Tc: 0.000 0.500 0.000  0.69

E_form, eV/f.u.: 8.58
Size of the total moment, Bohr magnetons per cell: 2.60
ρ, g/cm3: 6.874
Space group: P4/mmm



[6]
Material: ZrTaCoTc
Method: DFT, PBE
State: optimized geometry

Lattice parameters (Å, degrees): 4.510 4.510 4.510 60.00 60.00 60.00
Last column: magnetic moment on the atom in μB.
Positions (direct):
Zr: 0.750 0.750 0.750  -0.04
Tc: 0.500 0.500 0.500  0.05
Co: 0.000 0.000 0.000  0.98
Ta: 0.250 0.250 0.250  -0.01

E_form, eV/f.u.: -1.19
Size of the total moment, Bohr magnetons per cell: 0.89
ρ, g/cm3: 10.985
Space group: F-43m



[7]
Material: TaCo2Te
Method: DFT, PBE
State: optimized geometry

Lattice parameters (Å, degrees): 4.644 4.644 4.472 80.98 80.98 40.83
Positions (direct):
Co: 0.008 0.008 0.981
Ta: 0.486 0.486 0.571
Co: 0.749 0.749 0.750
Te: 0.256 0.256 0.198

Size of the total moment, Bohr magnetons per cell: 0.00
Energy relative to the elements, uncorrected, eV per atom: 0.18
ρ, g/cm3: 11.386
Space group: Cm



[8]
Material: TaCoTe6
Method: DFT, PBE
State: optimized geometry

Lattice parameters (Å, degrees): 6.699 6.820 7.291 56.36 56.98 57.31
Positions (direct):
Te: 0.593 0.206 0.288
Ta: 0.500 0.500 0.500
Te: 0.726 0.065 0.808
Te: 0.041 0.440 0.729
Te: 0.407 0.794 0.712
Te: 0.274 0.935 0.192
Te: 0.959 0.560 0.271
Co: 0.000 0.000 0.000

Size of the total moment, Bohr magnetons per cell: 0.00
Energy relative to the elements, uncorrected, eV per atom: -0.05
ρ, g/cm3: 7.638
Space group: P-1



[9]
Material: TaCo2Te
Method: DFT, PBE
State: optimized geometry

Lattice parameters (Å, degrees): 3.291 3.289 5.803 90.00 90.00 90.00
Positions (direct):
Co: 0.000 0.000 0.016
Te: 0.500 0.500 0.804
Ta: 0.000 0.000 0.434
Co: 0.500 0.500 0.246

Size of the total moment, Bohr magnetons per cell: 0.00
Energy relative to the elements, uncorrected, eV per atom: 0.21
ρ, g/cm3: 11.273
Space group: P4mm



[10]
Material: TaCo2Te2
Method: DFT, PBE
State: optimized geometry

Lattice parameters (Å, degrees): 5.108 5.108 5.108 121.90 121.90 86.75
Positions (direct):
Te: 0.750 0.250 0.500
Co: 0.345 0.345 0.000
Te: 0.250 0.750 0.500
Co: 0.655 0.655 0.000
Ta: 0.000 0.000 0.000

Size of the total moment, Bohr magnetons per cell: 0.00
Energy relative to the elements, uncorrected, eV per atom: 0.54
ρ, g/cm3: 10.067
Space group: I4/mmm



[11]
Material: TaCoTe
Method: DFT, PBE
State: optimized geometry

Lattice parameters (Å, degrees): 5.339 5.339 5.339 144.00 144.00 51.83
Positions (direct):
Te: 0.663 0.663 0.000
Ta: 0.356 0.356 0.000
Co: 0.982 0.982 0.000

Size of the total moment, Bohr magnetons per cell: 0.00
Energy relative to the elements, uncorrected, eV per atom: 0.24
ρ, g/cm3: 11.668
Space group: I4mm



[12]
Material: TaCo3Te
Method: DFT, PBE
State: optimized geometry

Lattice parameters (Å, degrees): 4.525 4.525 4.525 90.00 90.00 90.00
Last column: magnetic moment on the atom in μB.
Positions (direct):
Co: 0.500 0.000 0.000  0.09
Co: 0.000 0.000 0.500  0.11
Ta: 0.000 0.000 0.000  -0.04
Te: 0.500 0.500 0.500  0.00
Co: 0.000 0.500 0.000  0.12

Size of the total moment, Bohr magnetons per cell: 0.28
Energy relative to the elements, uncorrected, eV per atom: 1.26
ρ, g/cm3: 8.700
Space group: Pm-3m



[13]
Material: TaCoTe
Method: DFT, PBE
State: optimized geometry

Lattice parameters (Å, degrees): 3.776 3.776 4.632 90.00 90.00 120.00
Positions (direct):
Ta: 0.667 0.333 0.243
Co: 0.000 0.000 0.027
Te: 0.333 0.667 0.731

Size of the total moment, Bohr magnetons per cell: 0.00
Energy relative to the elements, uncorrected, eV per atom: 0.14
ρ, g/cm3: 10.669
Space group: P3m1



[14]
Material: TaCo2Te
Method: DFT, PBE
State: optimized geometry

Lattice parameters (Å, degrees): 3.291 3.291 5.684 90.00 90.00 90.00
Positions (direct):
Co: 0.000 0.000 0.474
Te: 0.500 0.500 0.750
Ta: 0.500 0.500 0.250
Co: 0.000 0.000 0.026

Size of the total moment, Bohr magnetons per cell: 0.00
Energy relative to the elements, uncorrected, eV per atom: 0.03
ρ, g/cm3: 11.502
Space group: P4/mmm



[15]
Material: Ta2Co2Te
Method: DFT, PBE
State: optimized geometry

Lattice parameters (Å, degrees): 7.484 7.484 2.984 90.00 90.00 90.00
Positions (direct):
Ta: 0.350 0.850 0.000
Te: 0.000 0.000 0.000
Co: 0.130 0.630 0.500
Te: 0.500 0.500 0.000
Ta: 0.150 0.350 0.000
Co: 0.630 0.870 0.500
Co: 0.370 0.130 0.500
Co: 0.870 0.370 0.500
Ta: 0.850 0.650 0.000
Ta: 0.650 0.150 0.000

Size of the total moment, Bohr magnetons per cell: 0.00
Energy relative to the elements, uncorrected, eV per atom: 0.21
ρ, g/cm3: 12.072
Space group: P4/mbm



[16]
Material: TaCoTe3
Method: DFT, PBE
State: optimized geometry

Lattice parameters (Å, degrees): 5.408 5.408 5.408 90.00 90.00 90.00
Last column: magnetic moment on the atom in μB.
Positions (direct):
Co: 0.500 0.500 0.500  2.35
Te: 0.000 0.500 0.000  0.04
Te: 0.500 0.000 0.000  0.04
Te: 0.000 0.000 0.500  0.04
Ta: 0.000 0.000 0.000  0.05

Size of the total moment, Bohr magnetons per cell: 2.88
Energy relative to the elements, uncorrected, eV per atom: 0.89
ρ, g/cm3: 6.536
Space group: Pm-3m



[17]
Material: TaCo2Te
Method: DFT, PBE
State: optimized geometry

Lattice parameters (Å, degrees): 5.479 5.479 6.818 66.31 66.31 90.00
Positions (direct):
Co: 0.117 0.625 0.250
Co: 0.875 0.883 0.750
Ta: 0.000 0.000 0.000
Te: 0.250 0.750 0.500
Ta: 0.750 0.250 0.500
Co: 0.633 0.125 0.250
Te: 0.500 0.500 0.000
Co: 0.375 0.367 0.750

Size of the total moment, Bohr magnetons per cell: 0.00
Energy relative to the elements, uncorrected, eV per atom: 0.63
ρ, g/cm3: 8.408
Space group: I-42d



[18]
Material: TaCo2Te
Method: DFT, PBE
State: optimized geometry

Lattice parameters (Å, degrees): 4.293 4.293 5.098 79.70 79.70 44.58
Last column: magnetic moment on the atom in μB.
Positions (direct):
Ta: 0.750 0.750 0.750  -0.05
Te: 0.250 0.250 0.250  0.00
Co: 0.018 0.018 0.948  0.23
Co: 0.482 0.482 0.552  0.23

Size of the total moment, Bohr magnetons per cell: 0.39
Energy relative to the elements, uncorrected, eV per atom: 0.20
ρ, g/cm3: 10.941
Space group: C2/m



[19]
Material: TaCoTe
Method: DFT, PBE
State: optimized geometry

Lattice parameters (Å, degrees): 4.252 4.252 4.252 60.00 60.00 60.00
Last column: magnetic moment on the atom in μB.
Positions (direct):
Co: 0.750 0.750 0.750  0.04
Te: 0.500 0.500 0.500  0.01
Ta: 0.000 0.000 0.000  0.15

Size of the total moment, Bohr magnetons per cell: 0.26
Energy relative to the elements, uncorrected, eV per atom: 0.25
ρ, g/cm3: 11.229
Space group: F-43m



[20]
Material: TaCo2Te
Method: DFT, PBE
State: optimized geometry

Lattice parameters (Å, degrees): 4.041 3.547 4.338 83.94 90.00 90.00
Positions (direct):
Co: 0.000 0.230 0.926
Te: 0.500 0.661 0.865
Ta: 0.000 0.587 0.380
Co: 0.500 0.022 0.329

Size of the total moment, Bohr magnetons per cell: 0.00
Energy relative to the elements, uncorrected, eV per atom: 0.11
ρ, g/cm3: 11.451
Space group: Pm



[21]
Material: TaCo2Te
Method: DFT, PBE
State: optimized geometry

Lattice parameters (Å, degrees): 4.021 4.020 3.663 90.00 90.00 90.00
Last column: magnetic moment on the atom in μB.
Positions (direct):
Te: 0.000 0.500 0.500  0.00
Ta: 0.500 0.000 0.500  -0.04
Co: 0.000 0.000 0.000  0.42
Co: 0.500 0.500 0.000  0.42

Size of the total moment, Bohr magnetons per cell: 0.75
Energy relative to the elements, uncorrected, eV per atom: 0.19
ρ, g/cm3: 11.959
Space group: P4/mmm



[22]
Material: TaCo2Te
Method: DFT, PBE
State: optimized geometry

Lattice parameters (Å, degrees): 4.412 4.412 4.412 60.00 60.00 60.00
Last column: magnetic moment on the atom in μB.
Positions (direct):
Co: 0.250 0.250 0.250  0.14
Ta: 0.500 0.500 0.500  -0.10
Co: 0.000 0.000 0.000  0.66
Te: 0.750 0.750 0.750  0.00

Size of the total moment, Bohr magnetons per cell: 0.61
Energy relative to the elements, uncorrected, eV per atom: 0.39
ρ, g/cm3: 11.658
Space group: F-43m



[23]
Material: TaCo4Te
Method: DFT, PBE
State: optimized geometry

Lattice parameters (Å, degrees): 4.812 4.812 4.812 60.00 60.00 60.00
Last column: magnetic moment on the atom in μB.
Positions (direct):
Ta: 0.750 0.750 0.750  -0.04
Co: 0.376 0.872 0.376  0.12
Te: 0.000 0.000 0.000  0.00
Co: 0.872 0.376 0.376  0.12
Co: 0.376 0.376 0.872  0.12
Co: 0.376 0.376 0.376  0.12

Size of the total moment, Bohr magnetons per cell: 0.41
Energy relative to the elements, uncorrected, eV per atom: 0.15
ρ, g/cm3: 11.471
Space group: F-43m



[24]
Material: TaCoTe
Method: DFT, PBE
State: optimized geometry

Lattice parameters (Å, degrees): 3.746 3.746 10.716 79.93 79.93 60.00
Positions (direct):
Te: 0.722 0.722 0.833
Co: 0.832 0.832 0.504
Co: 0.168 0.168 0.496
Ta: 0.551 0.551 0.346
Ta: 0.449 0.449 0.654
Te: 0.278 0.278 0.167

Size of the total moment, Bohr magnetons per cell: 0.00
Energy relative to the elements, uncorrected, eV per atom: -0.07
ρ, g/cm3: 9.568
Space group: R-3m



[25]
Material: TaCo3Te
Method: DFT, PBE
State: optimized geometry

Lattice parameters (Å, degrees): 4.473 4.473 4.473 90.00 90.00 90.00
Last column: magnetic moment on the atom in μB.
Positions (direct):
Te: 0.000 0.000 0.000  -0.01
Co: 0.000 0.000 0.500  0.62
Co: 0.500 0.000 0.000  0.98
Co: 0.000 0.500 0.000  0.85
Ta: 0.500 0.500 0.500  0.49

Size of the total moment, Bohr magnetons per cell: 3.10
Energy relative to the elements, uncorrected, eV per atom: 1.38
ρ, g/cm3: 9.008
Space group: Pm-3m



[26]
Material: Ta2Co2Te
Method: DFT, PBE
State: optimized geometry

Lattice parameters (Å, degrees): 3.455 3.455 7.541 76.75 76.75 90.00
Last column: magnetic moment on the atom in μB.
Positions (direct):
Ta: 0.375 0.375 0.249  -0.02
Te: 0.000 0.000 0.000  0.00
Co: 0.750 0.250 0.500  0.24
Ta: 0.625 0.625 0.751  -0.02
Co: 0.250 0.750 0.500  0.24

Size of the total moment, Bohr magnetons per cell: 0.48
Energy relative to the elements, uncorrected, eV per atom: 0.13
ρ, g/cm3: 11.840
Space group: I4/mmm



[27]
Material: TaCoTe3
Method: DFT, PBE
State: optimized geometry

Lattice parameters (Å, degrees): 3.606 6.450 11.738 113.69 90.00 90.00
Positions (direct):
Co: 0.750 0.903 0.849
Ta: 0.750 0.805 0.458
Te: 0.750 0.582 0.632
Te: 0.750 0.239 0.056
Co: 0.250 0.097 0.151
Ta: 0.250 0.195 0.542
Te: 0.250 0.859 0.287
Te: 0.750 0.141 0.713
Te: 0.250 0.761 0.944
Te: 0.250 0.418 0.368

Size of the total moment, Bohr magnetons per cell: 0.00
Energy relative to the elements, uncorrected, eV per atom: -0.08
ρ, g/cm3: 8.271
Space group: P2_1/m



[28]
Material: TaCo2Te
Method: DFT, PBE
State: optimized geometry

Lattice parameters (Å, degrees): 4.680 4.680 4.680 129.45 129.45 74.29
Positions (direct):
Te: 0.750 0.250 0.500
Ta: 0.250 0.750 0.500
Co: 0.500 0.500 0.000
Co: 0.000 0.000 0.000

Size of the total moment, Bohr magnetons per cell: 0.00
Energy relative to the elements, uncorrected, eV per atom: 0.24
ρ, g/cm3: 11.885
Space group: I4/mmm